(1)
DFT (PBE) results for a relaxed NaTiAg2S4 crystal.

total energy	-36.7	eV per cell
space group	No. 121
energy relative to the elements, uncorrected	-0.6533	eV per atom
Fermi-level density of states	2.484	states/eV/cell

Cell: 6.173 6.173 6.173 Å, 113.33 113.33 102.00°
Positions (direct):
Na1 0.500 0.500 0.000
Ti1 0.000 0.000 0.000
Ag1 0.750 0.250 0.500
Ag2 0.250 0.750 0.500
S1 0.637 0.637 0.605
S2 0.968 0.363 0.000
S3 0.363 0.968 0.000
S4 0.032 0.032 0.395


(2)
DFT (PBE) results for a relaxed BeZn3Hg crystal.

total energy	-6.5	eV per cell
energy relative to the elements	0.2643	eV/atom
space group	No. 221
Fermi-level density of states	1.786	states/eV/cell

Cell: 4.475 4.475 4.475 Å, 90.00 90.00 90.00°
Positions (direct):
Be1 0.000 0.000 0.000
Zn1 0.000 0.500 0.000
Zn2 0.000 0.000 0.500
Zn3 0.500 0.000 0.000
Hg1 0.500 0.500 0.500


(3)
DFT (PBE) results for a relaxed Zr2ReBH crystal.

total energy	-34.9	eV per cell
space group	No. 123
Fermi-level density of states	4.074	states/eV/cell

Cell: 5.051 3.274 5.051 Å, 90.00 90.00 90.00°
Positions (direct):
Re1 0.000 0.000 0.000
B1 0.500 0.500 0.500
Zr1 0.000 0.000 0.500
Zr2 0.500 0.000 0.000
H1 0.000 0.500 0.000


(4)
DFT (PBE) results for a relaxed ZrTlCl2 crystal.

total energy	-18.9	eV per cell
space group	No. 166
energy relative to the elements, uncorrected	-1.0776	eV per atom
Fermi-level density of states	2.339	states/eV/cell

Cell: 10.418 10.418 10.418 Å, 18.49 18.49 18.49°
Positions (direct):
Tl1 0.000 0.000 0.000
Zr1 0.500 0.500 0.500
Cl1 0.893 0.893 0.893
Cl2 0.107 0.107 0.107


(5)
DFT (PBE) results for a relaxed TlHg6Au2 crystal.

total energy	-20.7	eV per cell
energy relative to the elements	0.0410	eV/atom
space group	No. 12
Fermi-level density of states	3.374	states/eV/cell

Cell: 8.506 8.526 8.506 Å, 98.31 116.43 114.14°
Positions (direct):
Tl1 0.000 0.500 0.500
Tl2 0.000 0.000 0.000
Hg1 0.505 0.797 0.714
Hg2 0.495 0.203 0.286
Hg3 0.083 0.797 0.292
Hg4 0.917 0.203 0.708
Hg5 0.788 0.034 0.247
Hg6 0.212 0.966 0.753
Hg7 0.210 0.455 0.244
Hg8 0.790 0.545 0.756
Hg9 0.724 0.314 0.033
Hg10 0.276 0.686 0.967
Hg11 0.281 0.314 0.590
Hg12 0.719 0.686 0.410
Au1 0.504 0.129 0.625
Au2 0.496 0.871 0.375
Au3 0.651 0.653 0.002
Au4 0.349 0.347 0.998


(6)
DFT (PBE) results for a relaxed NaMnInBr4 crystal.

total energy	-53.2	eV per cell
space group	No. 11
energy relative to the elements, uncorrected	-0.9510	eV per atom
Fermi-level density of states	0.000	states/eV/cell

Cell: 7.287 7.655 8.798 Å, 90.00 106.70 90.00°
Site moments in Bohr magnetons follow the coordinates.
Positions (direct):
Na1 0.780 0.750 0.442  0.00
Na2 0.220 0.250 0.558  0.00
Mn1 0.244 0.750 0.321  4.31
Mn2 0.756 0.250 0.679  4.31
In1 0.766 0.750 0.937  0.01
In2 0.234 0.250 0.063  0.01
Br1 0.989 0.500 0.726  0.05
Br2 0.011 0.000 0.274  0.05
Br3 0.011 0.500 0.274  0.05
Br4 0.989 0.000 0.726  0.05
Br5 0.446 0.750 0.138  0.05
Br6 0.554 0.250 0.862  0.05
Br7 0.461 0.750 0.596  0.05
Br8 0.539 0.250 0.404  0.05


(7)
DFT (PBE) results for a relaxed HoHg2Pd9 crystal.

total energy	-56.2	eV per cell
energy relative to the elements	-0.3581	eV/atom
space group	No. 123
Fermi-level density of states	15.822	states/eV/cell

Cell: 4.055 4.055 12.362 Å, 90.00 90.00 90.00°
Positions (direct):
Ho1 0.000 0.000 0.000
Hg1 0.000 0.000 0.336
Hg2 0.000 0.000 0.664
Pd1 0.500 0.500 0.000
Pd2 0.500 0.500 0.332
Pd3 0.500 0.500 0.668
Pd4 0.500 0.000 0.169
Pd5 0.500 0.000 0.500
Pd6 0.500 0.000 0.831
Pd7 0.000 0.500 0.169
Pd8 0.000 0.500 0.500
Pd9 0.000 0.500 0.831


(8)
DFT (PBE) results for a relaxed Rb5As2 crystal.

total energy	-31.6	eV per cell
energy relative to the elements	-0.2344	eV/atom
space group	No. 72
Fermi-level density of states	22.162	states/eV/cell

Cell: 7.692 8.817 10.570 Å, 114.65 111.34 90.00°
Site moments in Bohr magnetons follow the coordinates.
Positions (direct):
Rb1 0.079 0.226 0.158  0.01
Rb2 0.921 0.774 0.842  0.01
Rb3 0.579 0.933 0.158  0.01
Rb4 0.421 0.067 0.842  0.01
Rb5 0.487 0.737 0.475  0.01
Rb6 0.013 0.263 0.525  0.01
Rb7 0.513 0.263 0.525  0.01
Rb8 0.987 0.737 0.475  0.01
Rb9 0.750 0.500 0.000  0.01
Rb10 0.250 0.500 0.000  0.01
As1 0.378 0.633 0.755  0.20
As2 0.622 0.367 0.245  0.20
As3 0.878 0.122 0.755  0.20
As4 0.122 0.878 0.245  0.20


(9)
DFT (PBE) results for a relaxed EuErAu2 crystal.

total energy	-24.5	eV per cell
energy relative to the elements	-0.7807	eV/atom
space group	No. 225
Fermi-level density of states	9.100	states/eV/cell

Cell: 5.152 5.152 5.152 Å, 60.00 60.00 60.00°
Site moments in Bohr magnetons follow the coordinates.
Positions (direct):
Eu1 0.000 0.000 0.000  6.77
Au1 0.250 0.250 0.250  0.01
Au2 0.750 0.750 0.750  0.01
Er1 0.500 0.500 0.500  0.05


(10)
DFT (PBE) results for a relaxed Hf6TeP crystal.

total energy	-69.1	eV per cell
space group	No. 2
energy relative to the elements, uncorrected	-0.1008	eV per atom
Fermi-level density of states	7.002	states/eV/cell

Cell: 6.204 6.257 6.655 Å, 62.32 62.80 59.87°
Positions (direct):
Hf1 0.026 0.439 0.777
Hf2 0.757 0.020 0.777
Hf3 0.560 0.240 0.224
Hf4 0.243 0.980 0.223
Hf5 0.974 0.561 0.223
Hf6 0.440 0.760 0.776
Te1 0.500 0.500 0.500
P1 0.000 0.000 0.000


(11)
DFT (PBE) results for a relaxed Nd2ErCu3 crystal.

total energy	-27.5	eV per cell
energy relative to the elements	-0.1881	eV/atom
space group	No. 123
Fermi-level density of states	3.649	states/eV/cell

Cell: 3.524 3.524 10.695 Å, 90.00 90.00 90.00°
Positions (direct):
Nd1 0.500 0.500 0.828
Nd2 0.500 0.500 0.172
Er1 0.500 0.500 0.500
Cu1 0.000 0.000 0.000
Cu2 0.000 0.000 0.649
Cu3 0.000 0.000 0.351


(12)
DFT (PBE) results for a relaxed MnV2Se crystal.

total energy	-59.5	eV per cell
space group	No. 122
energy relative to the elements, uncorrected	0.2808	eV per atom
Fermi-level density of states	8.246	states/eV/cell

Cell: 3.618 3.618 9.487 Å, 79.01 79.01 90.00°
Site moments in Bohr magnetons follow the coordinates.
Positions (direct):
Mn1 0.500 0.500 0.000  3.02
Mn2 0.250 0.750 0.500  3.02
Se1 0.000 0.000 0.000  0.00
Se2 0.750 0.250 0.500  0.00
V1 0.635 0.125 0.250  -0.13
V2 0.115 0.625 0.250  -0.13
V3 0.375 0.365 0.750  -0.13
V4 0.875 0.885 0.750  -0.13


(13)
DFT (PBE) results for a relaxed ZnPb3W crystal.

total energy	-18.5	eV per cell
energy relative to the elements	1.3788	eV/atom
space group	No. 221
Fermi-level density of states	2.843	states/eV/cell

Cell: 5.285 5.285 5.285 Å, 90.00 90.00 90.00°
Site moments in Bohr magnetons follow the coordinates.
Positions (direct):
Pb1 0.000 0.500 0.000  -0.03
Pb2 0.000 0.000 0.500  -0.01
Pb3 0.500 0.000 0.000  -0.01
Zn1 0.000 0.000 0.000  0.01
W1 0.500 0.500 0.500  3.02


(14)
DFT (PBE) results for a relaxed Tm3MnAg4S8 crystal.

total energy	-83.6	eV per cell
space group	No. 12
energy relative to the elements, uncorrected	-1.0348	eV per atom

Cell: 7.674 9.792 7.891 Å, 127.80 119.10 90.00°
Site moments in Bohr magnetons follow the coordinates.
Positions (direct):
Tm1 0.500 0.500 0.000  0.03
Tm2 0.500 0.500 0.500  0.01
Tm3 0.000 0.500 0.500  0.01
Mn1 0.000 0.500 0.000  3.70
Ag1 0.500 0.000 0.000  0.01
Ag2 0.500 0.000 0.500  0.00
Ag3 0.000 0.000 0.000  0.01
Ag4 0.000 0.000 0.500  0.00
S1 0.243 0.693 0.037  -0.03
S2 0.267 0.707 0.535  0.03
S3 0.235 0.293 0.470  0.01
S4 0.794 0.693 0.037  -0.03
S5 0.206 0.307 0.963  -0.03
S6 0.765 0.707 0.530  0.01
S7 0.733 0.293 0.465  0.03
S8 0.757 0.307 0.963  -0.03


(15)
DFT (PBE) results for a relaxed Zn2Cd2Pt crystal.

total energy	-19.3	eV per cell
energy relative to the elements	0.1517	eV/atom
space group	No. 127
Fermi-level density of states	1.292	states/eV/cell

Cell: 7.389 7.389 3.287 Å, 90.00 90.00 90.00°
Positions (direct):
Zn1 0.162 0.662 0.500
Zn2 0.662 0.838 0.500
Zn3 0.838 0.338 0.500
Zn4 0.338 0.162 0.500
Pt1 0.000 0.000 0.000
Pt2 0.500 0.500 0.000
Cd1 0.359 0.859 0.000
Cd2 0.859 0.641 0.000
Cd3 0.641 0.141 0.000
Cd4 0.141 0.359 0.000


(16)
DFT (PBE) results for a relaxed PmNdErMg crystal.

total energy	-15.6	eV per cell
energy relative to the elements	0.0160	eV/atom
space group	No. 216
Fermi-level density of states	4.325	states/eV/cell

Cell: 5.581 5.581 5.581 Å, 60.00 60.00 60.00°
Positions (direct):
Mg1 0.000 0.000 0.000
Pm1 0.250 0.250 0.250
Nd1 0.750 0.750 0.750
Er1 0.500 0.500 0.500


(17)
DFT (PBE) results for a relaxed CdSbAsI crystal.

total energy	-11.5	eV per cell
space group	No. 8
energy relative to the elements, uncorrected	-0.0648	eV per atom
Fermi-level density of states	1.199	states/eV/cell

Cell: 5.013 4.104 8.991 Å, 78.41 73.81 52.36°
Positions (direct):
Cd1 0.643 0.890 0.823
Sb1 0.484 0.623 0.408
As1 0.821 0.836 0.523
I1 0.181 0.639 0.000


(18)
DFT (PBE) results for a relaxed Ta3V8Au crystal.

total energy	-112.2	eV per cell
energy relative to the elements	-0.0366	eV/atom
space group	No. 156
Fermi-level density of states	14.270	states/eV/cell

Cell: 5.052 5.052 8.161 Å, 90.00 90.00 120.00°
Positions (direct):
Ta1 0.667 0.333 0.436
Ta2 0.667 0.333 0.063
Ta3 0.000 0.000 0.940
V1 0.333 0.667 0.497
V2 0.333 0.667 0.997
V3 0.504 0.008 0.750
V4 0.504 0.496 0.750
V5 0.992 0.496 0.750
V6 0.166 0.332 0.252
V7 0.166 0.834 0.252
V8 0.668 0.834 0.252
Au1 0.000 0.000 0.562


(19)
DFT (PBE) results for a relaxed CuSbOsF crystal.

total energy	-43.2	eV per cell
space group	No. 44
energy relative to the elements, uncorrected	-0.0668	eV per atom
Fermi-level density of states	3.058	states/eV/cell

Cell: 2.895 4.500 10.010 Å, 90.00 90.00 90.00°
Positions (direct):
Sb1 0.000 0.500 0.877
Sb2 0.500 0.000 0.377
Os1 0.000 0.500 0.320
Os2 0.500 0.000 0.820
Cu1 0.000 0.000 0.614
Cu2 0.500 0.500 0.114
F1 0.000 0.500 0.530
F2 0.500 0.000 0.030


(20)
DFT (PBE) results for a relaxed HfAl2Re2 crystal.

total energy	-42.0	eV per cell
energy relative to the elements	0.0603	eV/atom
space group	No. 139
Fermi-level density of states	3.825	states/eV/cell

Cell: 3.593 3.593 7.073 Å, 75.28 75.28 90.00°
Positions (direct):
Re1 0.397 0.397 0.205
Re2 0.603 0.603 0.795
Hf1 0.000 0.000 0.000
Al1 0.750 0.250 0.500
Al2 0.250 0.750 0.500